# 1
An optimized crystal structure of PmGaCuRu. Source: Alexandria, functional PBE.

abc: 6.575 6.575 6.575
angles: 90.00 90.00 90.00
Space group F-43m (No. 216)
Unique sites:
1 Pm 0.000 0.000 0.000
2 Ga 0.000 0.000 0.500
3 Cu 0.250 0.250 0.750
4 Ru 0.250 0.250 0.250

Values from the calculation:
- crystal system = cubic
- ΔH_f (0 K) (meV/atom) = -118

---

# 2
An optimized crystal structure of TbThCdIr. Source: Alexandria, functional PBE.

abc: 7.290 7.290 7.290
angles: 90.00 90.00 90.00
Space group F-43m (No. 216)
Unique sites:
1 Tb 0.000 0.000 0.000
2 Th 0.000 0.000 0.500
3 Cd 0.250 0.250 0.250
4 Ir 0.250 0.250 0.750

Values from the calculation:
- crystal system = cubic
- ΔH_f (0 K) (meV/atom) = -407

---

# 3
An optimized crystal structure of YAgN2F. Source: Alexandria, functional PBE.

abc: 4.515 4.515 4.321
angles: 90.00 90.00 90.00
Space group P4/mmm (No. 123)
Unique sites:
1 Y 0.000 0.000 0.000
2 Ag 0.500 0.500 0.500
3 N 0.000 0.500 0.000
4 F 0.000 0.000 0.500

Values from the calculation:
- energy above the most stable polymorph in this dataset (meV per atom) = 0.0
- crystal system = tetragonal
- raw formation energy (kcal/mol of atoms) = 1.28

---

# 4
An optimized crystal structure of Er2Re2Si2C. Source: Alexandria, functional PBE.

abc: 10.898 3.958 6.893
angles: 90.00 127.19 90.00
Space group C2/m (No. 12)
Unique sites:
1 Er 0.072 0.000 0.299
2 Re 0.208 0.500 0.093
3 Si 0.140 0.500 0.677
4 C 0.000 0.500 0.000

Values from the calculation:
- crystal system = monoclinic
- raw formation energy (kcal/mol of atoms) = -14.27

---

# 5
An optimized crystal structure of Li3La2TiNi12. Source: Alexandria, functional PBE.

abc: 6.0974 6.0974 25.2726
angles: 90.00 90.00 120.00
Space group R-3m (No. 166, hexagonal axes)
Unique sites:
1 Li 0.0000 0.5000 0.0000
2 La 0.0000 0.0000 0.1538
3 Ti 0.0000 0.0000 0.5000
4 Ni 0.0553 0.5276 0.0948
5 Ni 0.0751 0.5376 0.6150

Values from the calculation:
- crystal system = trigonal
- ΔH_f (0 K) (meV/atom) = 123

---

# 6
An optimized crystal structure of LiGa2Hg2. Source: Alexandria, functional PBE.

abc: 3.058 3.058 21.599
angles: 90.00 90.00 90.00
Space group I4/mmm (No. 139)
Unique sites:
1 Li 0.000 0.000 0.000
2 Ga 0.000 0.000 0.202
3 Hg 0.000 0.000 0.410

Values from the calculation:
- energy above the most stable polymorph in this dataset (meV per atom) = 0.0
- crystal system = tetragonal
- ΔH_f (0 K) (meV/atom) = -103

---

Which formula does entry 4 have?
Er2Re2Si2C